A plane-wave DFT calculation with GGA-PBE was carried out for an optimized crystal structure of LiHf3Pb5.

Cell: 6.1001 6.1001 8.1062 Å, 90.00 90.00 120.00°
Element x y z (fractional)
Li 0.0000 0.0000 0.0000
Hf 0.0000 0.5000 0.5000
Hf 0.5000 0.0000 0.5000
Hf 0.5000 0.5000 0.5000
Pb 0.0000 0.0000 0.5000
Pb 0.3333 0.6667 0.1866
Pb 0.3333 0.6667 0.8134
Pb 0.6667 0.3333 0.1866
Pb 0.6667 0.3333 0.8134

Computed properties:
Uncorrected energy   -48.9 eV/cell
Space-group type   P6/mmm (191)


A plane-wave DFT calculation with GGA-PBE was carried out for an optimized crystal structure of LiHfPb.

Cell: 4.4541 4.4541 4.4541 Å, 60.00 60.00 60.00°
Element x y z (fractional)
Li 0.0000 0.0000 0.0000
Hf 0.7500 0.7500 0.7500
Pb 0.2500 0.2500 0.2500

Computed properties:
Uncorrected energy   -14.7 eV/cell
Space-group type   F-43m (216)


A plane-wave DFT calculation with GGA-PBE was carried out for an optimized crystal structure of LiHfPb2.

Cell: 5.2212 5.2212 5.2212 Å, 60.00 60.00 60.00°
Element x y z (fractional)
Li 0.0000 0.0000 0.0000
Hf 0.2500 0.2500 0.2500
Pb 0.5000 0.5000 0.5000
Pb 0.7500 0.7500 0.7500

Computed properties:
Uncorrected energy   -17.8 eV/cell
Space-group type   F-43m (216)


A plane-wave DFT calculation with GGA-PBE was carried out for an optimized crystal structure of LiHfPb.

Cell: 4.7925 4.7925 4.7925 Å, 60.00 60.00 60.00°
Element x y z (fractional)
Li 0.0000 0.0000 0.0000
Hf 0.2500 0.2500 0.2500
Pb 0.5000 0.5000 0.5000

Computed properties:
Uncorrected energy   -14.1 eV/cell
Space-group type   F-43m (216)


A plane-wave DFT calculation with GGA-PBE was carried out for an optimized crystal structure of Li2HfPd.

Cell: 4.4825 4.4825 4.4825 Å, 60.00 60.00 60.00°
Element x y z (fractional)
Li 0.0000 0.0000 0.0000
Li 0.2500 0.2500 0.2500
Hf 0.7500 0.7500 0.7500
Pd 0.5000 0.5000 0.5000

Computed properties:
Uncorrected energy   -19.6 eV/cell
Space-group type   F-43m (216)


A plane-wave DFT calculation with GGA-PBE was carried out for an optimized crystal structure of LiHf2Pd.

Cell: 4.6683 4.6683 4.6683 Å, 60.00 60.00 60.00°
Element x y z (fractional)
Li 0.0000 0.0000 0.0000
Hf 0.5000 0.5000 0.5000
Hf 0.7500 0.7500 0.7500
Pd 0.2500 0.2500 0.2500

Computed properties:
Uncorrected energy   -26.7 eV/cell
Space-group type   F-43m (216)


A plane-wave DFT calculation with GGA-PBE was carried out for an optimized crystal structure of LiHfScPd.

Cell: 4.6878 4.6878 4.6878 Å, 60.00 60.00 60.00°
Element x y z (fractional)
Li 0.0000 0.0000 0.0000
Hf 0.2500 0.2500 0.2500
Sc 0.7500 0.7500 0.7500
Pd 0.5000 0.5000 0.5000

Computed properties:
Uncorrected energy   -24.5 eV/cell
Space-group type   F-43m (216)
ΔE to the lowest computed polymorph   0 meV per atom


A plane-wave DFT calculation with GGA-PBE was carried out for an optimized crystal structure of LiHfScPd.

Cell: 4.6252 4.6252 4.6252 Å, 60.00 60.00 60.00°
Element x y z (fractional)
Li 0.0000 0.0000 0.0000
Hf 0.5000 0.5000 0.5000
Sc 0.7500 0.7500 0.7500
Pd 0.2500 0.2500 0.2500

Computed properties:
Uncorrected energy   -23.9 eV/cell
Space-group type   F-43m (216)
ΔE to the lowest computed polymorph   134 meV per atom


Q: The highest uncorrected energy belongs to which entry?
A: number 4


Q: Which of these has the highest uncorrected energy?
A: number 4


Please write out number 7 again, unchanged.
A plane-wave DFT calculation with GGA-PBE was carried out for an optimized crystal structure of LiHfScPd.

Cell: 4.6878 4.6878 4.6878 Å, 60.00 60.00 60.00°
Element x y z (fractional)
Li 0.0000 0.0000 0.0000
Hf 0.2500 0.2500 0.2500
Sc 0.7500 0.7500 0.7500
Pd 0.5000 0.5000 0.5000

Computed properties:
Uncorrected energy   -24.5 eV/cell
Space-group type   F-43m (216)
ΔE to the lowest computed polymorph   0 meV per atom